A geometry-optimized Li4DyPd2 structure. Source: Alexandria, functional PBE.

Calculated values
- VASP energy: -3.640 eV per atom
- Space-group type: P4_2/mnm, No. 136
- Theoretical density: 5.5 Mg/m³
- Crystal system: tetragonal

Cell: 7.6661 7.6661 4.1313 Å, 90.00 90.00 90.00°
Element x y z (fractional)
Li1 0.0987 0.3469 0.0000
Li2 0.1531 0.5987 0.5000
Li3 0.3469 0.0987 0.0000
Li4 0.4013 0.8469 0.5000
Li5 0.5987 0.1531 0.5000
Li6 0.6531 0.9013 0.0000
Li7 0.8469 0.4013 0.5000
Li8 0.9013 0.6531 0.0000
Dy1 0.0000 0.0000 0.5000
Dy2 0.5000 0.5000 0.0000
Pd1 0.2037 0.7963 0.0000
Pd2 0.2963 0.2963 0.5000
Pd3 0.7037 0.7037 0.5000
Pd4 0.7963 0.2037 0.0000

A geometry-optimized LiDyPd14 structure. Source: Alexandria, functional PBE.

Calculated values
- VASP energy: -5.205 eV per atom
- Space-group type: P4/mmm, No. 123
- Theoretical density: 10.9 Mg/m³
- Crystal system: tetragonal

Cell: 5.6372 5.6372 7.9653 Å, 90.00 90.00 90.00°
Element x y z (fractional)
Li1 0.0000 0.0000 0.0000
Dy1 0.5000 0.5000 0.0000
Pd1 0.0000 0.0000 0.5000
Pd2 0.0000 0.5000 0.0000
Pd3 0.0000 0.5000 0.5000
Pd4 0.2468 0.2468 0.2525
Pd5 0.2468 0.2468 0.7475
Pd6 0.2468 0.7532 0.2525
Pd7 0.2468 0.7532 0.7475
Pd8 0.5000 0.0000 0.0000
Pd9 0.5000 0.0000 0.5000
Pd10 0.5000 0.5000 0.5000
Pd11 0.7532 0.2468 0.2525
Pd12 0.7532 0.2468 0.7475
Pd13 0.7532 0.7532 0.2525
Pd14 0.7532 0.7532 0.7475

A geometry-optimized Li2DyPd9 structure. Source: Alexandria, functional PBE.

Calculated values
- VASP energy: -5.049 eV per atom
- Space-group type: P4/mmm, No. 123
- Theoretical density: 10.0 Mg/m³
- Crystal system: tetragonal

Cell: 4.0335 4.0335 11.5829 Å, 90.00 90.00 90.00°
Element x y z (fractional)
Li1 0.0000 0.0000 0.1576
Li2 0.0000 0.0000 0.8424
Dy1 0.0000 0.0000 0.5000
Pd1 0.0000 0.5000 0.0000
Pd2 0.0000 0.5000 0.3190
Pd3 0.0000 0.5000 0.6810
Pd4 0.5000 0.0000 0.0000
Pd5 0.5000 0.0000 0.3190
Pd6 0.5000 0.0000 0.6810
Pd7 0.5000 0.5000 0.1590
Pd8 0.5000 0.5000 0.5000
Pd9 0.5000 0.5000 0.8410

A geometry-optimized Li3DyPd3 structure. Source: Alexandria, functional PBE.

Calculated values
- VASP energy: -3.674 eV per atom
- Space-group type: Pm-3n, No. 223
- Theoretical density: 6.4 Mg/m³
- Crystal system: cubic

Cell: 6.3796 6.3796 6.3796 Å, 90.00 90.00 90.00°
Element x y z (fractional)
Li1 0.0000 0.2500 0.5000
Li2 0.0000 0.7500 0.5000
Li3 0.2500 0.5000 0.0000
Li4 0.5000 0.0000 0.2500
Li5 0.5000 0.0000 0.7500
Li6 0.7500 0.5000 0.0000
Dy1 0.0000 0.0000 0.0000
Dy2 0.5000 0.5000 0.5000
Pd1 0.0000 0.5000 0.2500
Pd2 0.0000 0.5000 0.7500
Pd3 0.2500 0.0000 0.5000
Pd4 0.5000 0.2500 0.0000
Pd5 0.5000 0.7500 0.0000
Pd6 0.7500 0.0000 0.5000

A geometry-optimized Li2DyPd3 structure. Source: Alexandria, functional PBE.

Calculated values
- VASP energy: -4.612 eV per atom
- Space-group type: P-3m1, No. 164
- Theoretical density: 8.3 Mg/m³
- Crystal system: trigonal

Cell: 4.4876 4.4876 5.6690 Å, 90.00 90.00 120.00°
Element x y z (fractional)
Li1 0.3333 0.6667 0.1639
Li2 0.6667 0.3333 0.8361
Dy1 0.0000 0.0000 0.5000
Pd1 0.0000 0.0000 0.0000
Pd2 0.3333 0.6667 0.7114
Pd3 0.6667 0.3333 0.2886

A geometry-optimized Li4DyPd2 structure. Source: Alexandria, functional PBE.

Calculated values
- VASP energy: -3.635 eV per atom
- Space-group type: Cmmm, No. 65
- Theoretical density: 5.3 Mg/m³
- Crystal system: orthorhombic

Cell: 8.7350 8.7350 3.9337 Å, 90.00 90.00 154.93°
Element x y z (fractional)
Li1 0.1753 0.8247 0.0000
Li2 0.3160 0.6840 0.5000
Li3 0.6840 0.3160 0.5000
Li4 0.8247 0.1753 0.0000
Dy1 0.5000 0.5000 0.0000
Pd1 0.0788 0.9212 0.5000
Pd2 0.9212 0.0788 0.5000

A geometry-optimized Li2DyPd2 structure. Source: Alexandria, functional PBE.

Calculated values
- VASP energy: -4.216 eV per atom
- Space-group type: P-3m1, No. 164
- Theoretical density: 6.4 Mg/m³
- Crystal system: trigonal

Cell: 4.7404 4.7404 5.2284 Å, 90.00 90.00 120.00°
Element x y z (fractional)
Li1 0.3333 0.6667 0.1300
Li2 0.6667 0.3333 0.8700
Dy1 0.0000 0.0000 0.5000
Pd1 0.3333 0.6667 0.6347
Pd2 0.6667 0.3333 0.3653

A geometry-optimized LiDy6Pd5 structure. Source: Alexandria, functional PBE.

Calculated values
- VASP energy: -5.362 eV per atom
- Space-group type: Immm, No. 71
- Theoretical density: 9.6 Mg/m³
- Crystal system: orthorhombic

Cell: 8.6445 8.6445 8.6445 Å, 146.55 131.98 59.78°
Element x y z (fractional)
Li1 0.0000 0.0000 0.0000
Dy1 0.0845 0.8301 0.2544
Dy2 0.2599 0.5000 0.7599
Dy3 0.4243 0.1699 0.2544
Dy4 0.5757 0.8301 0.7456
Dy5 0.7401 0.5000 0.2401
Dy6 0.9155 0.1699 0.7456
Pd1 0.1559 0.6559 0.5000
Pd2 0.3293 0.3293 0.0000
Pd3 0.5000 0.0000 0.5000
Pd4 0.6707 0.6707 0.0000
Pd5 0.8441 0.3441 0.5000

A geometry-optimized LiDy5Pd6 structure. Source: Alexandria, functional PBE.

Calculated values
- VASP energy: -5.500 eV per atom
- Space-group type: C2/m, No. 12
- Theoretical density: 9.7 Mg/m³
- Crystal system: monoclinic

Cell: 8.4530 8.4530 4.9090 Å, 106.83 106.83 119.69°
Element x y z (fractional)
Li1 0.0000 0.0000 0.0000
Dy1 0.1526 0.8474 0.5000
Dy2 0.3284 0.6716 0.0000
Dy3 0.5000 0.5000 0.5000
Dy4 0.6716 0.3284 0.0000
Dy5 0.8474 0.1526 0.5000
Pd1 0.0882 0.4284 0.2588
Pd2 0.2698 0.2698 0.7710
Pd3 0.4284 0.0882 0.2588
Pd4 0.5716 0.9118 0.7412
Pd5 0.7302 0.7302 0.2290
Pd6 0.9118 0.5716 0.7412

A geometry-optimized Li4DyPd structure. Source: Alexandria, functional PBE.

Calculated values
- VASP energy: -3.000 eV per atom
- Space-group type: F-43m, No. 216
- Theoretical density: 4.8 Mg/m³
- Crystal system: cubic

Cell: 5.2629 5.2629 5.2629 Å, 60.00 60.00 60.00°
Element x y z (fractional)
Li1 0.1222 0.1222 0.1222
Li2 0.1222 0.1222 0.6333
Li3 0.1222 0.6333 0.1222
Li4 0.6333 0.1222 0.1222
Dy1 0.5000 0.5000 0.5000
Pd1 0.7500 0.7500 0.7500

A geometry-optimized Li2DyPd4 structure. Source: Alexandria, functional PBE.

Calculated values
- VASP energy: -4.546 eV per atom
- Space-group type: I4/mmm, No. 139
- Theoretical density: 8.1 Mg/m³
- Crystal system: tetragonal

Cell: 5.4441 5.4441 5.4441 Å, 106.42 106.42 115.76°
Element x y z (fractional)
Li1 0.0000 0.5000 0.5000
Li2 0.5000 0.0000 0.5000
Dy1 0.0000 0.0000 0.0000
Pd1 0.0000 0.0000 0.5000
Pd2 0.0000 0.5000 0.0000
Pd3 0.5000 0.0000 0.0000
Pd4 0.5000 0.5000 0.5000

A geometry-optimized Li5DyPd6 structure. Source: Alexandria, functional PBE.

Calculated values
- VASP energy: -4.317 eV per atom
- Space-group type: P2/m, No. 10
- Theoretical density: 7.7 Mg/m³
- Crystal system: monoclinic

Cell: 4.1827 6.8771 6.6028 Å, 90.00 108.60 90.00°
Element x y z (fractional)
Li1 0.0000 0.0000 0.0000
Li2 0.3201 0.5000 0.6409
Li3 0.3332 0.0000 0.6650
Li4 0.6668 0.0000 0.3350
Li5 0.6799 0.5000 0.3591
Dy1 0.0000 0.5000 0.0000
Pd1 0.1699 0.2342 0.3407
Pd2 0.1699 0.7658 0.3407
Pd3 0.5000 0.2258 0.0000
Pd4 0.5000 0.7742 0.0000
Pd5 0.8301 0.2342 0.6593
Pd6 0.8301 0.7658 0.6593